DFT (GGA+U) results for a relaxed structure of VSnF4.

Unit cell a=5.4088 b=6.0031 c=7.1941 alpha=118.24 beta=115.98 gamma=81.44
Closest atoms and distances in Å follow each position.
Sites, in units of the cell vectors:
V 0.3306 0.5806 0.1613  6 F 2.12-2.15
V 0.6694 0.4194 0.8387  6 F 2.12-2.15
Sn 0.1024 0.8524 0.7049  6 F 2.37-2.58
Sn 0.8976 0.1476 0.2951  6 F 2.37-2.58
F 0.0183 0.3339 0.0846  2 V 2.12-2.14
F 0.5663 0.7507 0.0846  2 V 2.12-2.14
F 0.2842 0.4431 0.5771  1 V 2.15, 2 Sn 2.37-2.41
F 0.7158 0.5569 0.4229  1 V 2.15, 2 Sn 2.37-2.41
F 0.2071 0.8660 0.4229  1 V 2.15, 2 Sn 2.37-2.41
F 0.4337 0.2493 0.9154  2 V 2.12-2.14
F 0.7929 0.1340 0.5771  1 V 2.15, 2 Sn 2.37-2.41
F 0.9817 0.6661 0.9154  2 V 2.12-2.14

Values from the calculation:
- energy above the lowest structure with this stoichiometry (eV/atom) = 0.000
- spin magnetization (μB per atom) = 0.500
- total DFT energy (no corrections) (eV per atom) = -5.5802